SrCrPb2 at its PBEsol-relaxed geometry. Source: the Alexandria database, functional SCAN.

a b c (Å): 3.6018 3.6018 10.4751
angles (deg): 80.10 80.10 60.00
Closest atoms and distances in Å follow each position.
Atoms (fractional coordinates):
Cr  0.2572  0.2572  0.2284  3 Pb 2.97
Pb  0.9927  0.9927  0.0220  3 Cr 2.97
Pb  0.7453  0.7453  0.7641  9 Pb 3.37-3.60, 3 Sr 3.54
Sr  0.5048  0.5048  0.4855  3 Cr 3.36, 3 Pb 3.54, 6 Sr 3.60

Summary:
Crystal system: trigonal
E_tot, eV per atom: -47.776
Space group: R3m (160)